1.
VASP calculation (PBE) on crystalline HoPaPtO6 at its relaxed geometry.

Cell: 5.394 5.394 9.776 Å, 90.00 90.00 120.00°
Sites, in units of the cell vectors:
Ho  0.333  0.667  0.250
Ho  0.667  0.333  0.750
Pa  0.000  0.000  0.000
Pa  0.000  0.000  0.500
Pt  0.667  0.333  0.250
Pt  0.333  0.667  0.750
O  0.683  0.652  0.129
O  0.969  0.317  0.129
O  0.317  0.969  0.629
O  0.031  0.683  0.871
O  0.348  0.317  0.371
O  0.969  0.652  0.371
O  0.652  0.969  0.871
O  0.683  0.031  0.371
O  0.031  0.348  0.629
O  0.348  0.031  0.129
O  0.652  0.683  0.629
O  0.317  0.348  0.871

## Properties
DFT total energy	-8.065	eV per atom
M_tot	0.00	μB/f.u.
ΔE_f (raw)	-2.52	eV/atom

2.
VASP calculation (PBE) on crystalline ZrBe2InIr at its relaxed geometry.

Cell: 4.414 5.344 4.414 Å, 90.00 90.00 90.00°
Sites, in units of the cell vectors:
Be  0.000  0.000  0.500
Be  0.500  0.000  0.000
Ir  0.500  0.500  0.500
Zr  0.000  0.000  0.000
In  0.000  0.500  0.000

## Properties
formation energy from the elements	1906	meV/atom
DFT total energy	-3.614	eV per atom
M_tot	0.00	μB/f.u.

3.
VASP calculation (PBE) on crystalline BeSi3 at its relaxed geometry.

Cell: 5.060 5.060 4.994 Å, 90.00 90.00 119.91°
Sites, in units of the cell vectors:
Be  0.500  0.500  0.250
Be  0.500  0.500  0.750
Si  0.000  0.000  0.750
Si  0.000  0.000  0.250
Si  0.000  0.500  0.750
Si  0.000  0.500  0.250
Si  0.500  0.000  0.750
Si  0.500  0.000  0.250

## Properties
DFT total energy	-4.585	eV per atom
M_tot	0.00	μB/f.u.
ΔE_f (raw)	0.41	eV/atom

4.
VASP calculation (PBE) on crystalline Dy3MnB7 at its relaxed geometry.

Cell: 8.063 8.063 9.301 Å, 90.00 90.00 155.41°
Last column: magnetic moment on the atom in μB.
Sites, in units of the cell vectors:
Dy  0.760  0.240  0.250  -0.03
Dy  0.240  0.760  0.750  -0.03
Dy  0.896  0.104  0.561  -0.03
Dy  0.104  0.896  0.439  -0.03
Dy  0.104  0.896  0.061  -0.03
Dy  0.896  0.104  0.939  -0.03
Mn  0.946  0.054  0.250  0.29
Mn  0.054  0.946  0.750  0.29
B  0.540  0.460  0.250  0.00
B  0.460  0.540  0.750  0.00
B  0.522  0.478  0.902  -0.01
B  0.478  0.522  0.098  -0.01
B  0.478  0.522  0.402  -0.01
B  0.522  0.478  0.598  -0.01
B  0.630  0.370  0.847  0.00
B  0.370  0.630  0.153  0.00
B  0.727  0.273  0.968  0.00
B  0.273  0.727  0.032  0.00
B  0.273  0.727  0.468  0.00
B  0.727  0.273  0.532  0.00
B  0.630  0.370  0.653  0.00
B  0.370  0.630  0.347  0.00

## Properties
formation energy from the elements	-607	meV/atom
DFT total energy	-6.945	eV per atom
M_tot	0.16	μB/f.u.

What is the formula in the second record?
ZrBe2InIr